Entry from Alexandria: SrHoWO6 after structural relaxation (PBE+U).

Values from the calculation:
- Volume: 15.955 Å³/atom
- Crystal system: trigonal
- Calculated total energy: -7.33 eV per atom
- Size of the total moment: 0.118 μB/atom

a b c (Å): 5.6373 5.6373 5.2160
angles (deg): 90.00 90.00 120.00
Space group P312 (No. 149)
Asymmetric unit:
Sr1 0.0000 0.0000 0.0000
Ho1 0.6667 0.3333 0.5000
W1 0.3333 0.6667 0.5000
O1 0.0385 0.3862 0.2906